Material: TmHgTeO
Method: DFT, PBE
State: optimized geometry

energy relative to the lowest polymorph listed for this composition: 0 meV per atom
mass density: 7.928 g/cm3
raw total energy: -4.923 eV per atom
space-group type: P2_1/c

a = 9.004 Å, b = 7.127 Å, c = 6.703 Å
α = 90.00°, β = 88.17°, γ = 90.00°
Sites, in units of the cell vectors:
Hg 0.920 0.656 0.015
Hg 0.080 0.156 0.485
Hg 0.920 0.844 0.515
Hg 0.080 0.344 0.985
O 0.542 0.346 0.107
O 0.458 0.846 0.393
O 0.542 0.154 0.607
O 0.458 0.654 0.893
Te 0.755 0.979 0.038
Te 0.245 0.479 0.462
Te 0.755 0.521 0.538
Te 0.245 0.021 0.962
Tm 0.539 0.642 0.186
Tm 0.461 0.142 0.314
Tm 0.539 0.858 0.686
Tm 0.461 0.358 0.814